! BeCu2Pt (PBE, optimized geometry); values from VASP
&SYSTEM
  ibrav = 0, nat = 4, ntyp = 3
/
ATOMIC_SPECIES
Be 9.01 Be.upf
Cu 63.55 Cu.upf
Pt 195.08 Pt.upf
ATOMIC_POSITIONS angstrom
Be 0.0000 0.0000 0.0000
Cu 1.7486 0.0000 1.9808
Cu 0.0000 1.7486 1.9808
Pt 0.0000 0.0000 3.9615
CELL_PARAMETERS angstrom
-1.7486 1.7486 3.9615
1.7486 -1.7486 3.9615
1.7486 1.7486 -3.9615
! **Symmetry**: I4/mmm
! **Formation energy**: -218 meV/atom